1.
Entry from Alexandria: K2InPb7 after structural relaxation (PBE).

a b c (Å): 5.075 5.075 14.375
angles (deg): 90.00 90.00 90.00
Space group P-4m2 (No. 115)
Unique sites:
1 K 0.000 0.500 0.242 x2
2 In 0.500 0.500 0.000 x1
3 Pb 0.000 0.000 0.000 x1
4 Pb 0.000 0.000 0.500 x1
5 Pb 0.000 0.500 0.640 x2
6 Pb 0.000 0.500 0.865 x2
7 Pb 0.500 0.500 0.500 x1

Values from the calculation:
- Formation energy from the elements: -0.0720 eV/atom
- Total DFT energy (no corrections): -31.61 eV per formula unit

***

2.
Entry from Alexandria: KIn2Pb10 after structural relaxation (PBE).

a b c (Å): 6.470 16.104 16.461
angles (deg): 90.00 90.00 90.00
Space group Fmmm (No. 69)
Unique sites:
1 K 0.000 0.000 0.000 x4
2 In 0.250 0.000 0.250 x8
3 Pb 0.000 0.108 0.389 x16
4 Pb 0.000 0.176 0.178 x16
5 Pb 0.250 0.250 0.000 x8

Values from the calculation:
- Formation energy from the elements: -0.0189 eV/atom
- Total DFT energy (no corrections): -43.90 eV per formula unit

***

> What is the total DFT energy (no corrections) in the first record?

-31.61 eV per formula unit